## VSbP2O (PBE+U)

Data for a relaxed structure of VSbP2O.

Properties
Energy relative to the lowest polymorph listed for this composition (eV per atom): 1.0011
Theoretical density (g/cm3): 4.21
Symmetry: P4/mmm
Volume (Å³ per cell): 99

Cell and atoms, written as CIF:
```
data_VSbP2O
_chemical_formula_sum 'V1 Sb1 P2 O1'
_cell_length_a 5.0458
_cell_length_b 5.0458
_cell_length_c 3.8830
_cell_angle_alpha 90.00
_cell_angle_beta 90.00
_cell_angle_gamma 90.00
_symmetry_space_group_name_H-M 'P 1'
_symmetry_Int_Tables_number 1
loop_
_symmetry_equiv_pos_as_xyz
'x,y,z'
loop_
_atom_site_label
_atom_site_type_symbol
_atom_site_fract_x
_atom_site_fract_y
_atom_site_fract_z
P1 P 0.5000 0.0000 0.0000
P2 P 0.0000 0.5000 0.0000
Sb1 Sb 0.0000 0.0000 0.0000
O1 O 0.0000 0.0000 0.5000
V1 V 0.5000 0.5000 0.5000
```